Compound: BaLi4La
Source: the Alexandria database
Functional: PBE
Structure: relaxed

Calculated values
Space-group type: F-43m
Calculated formation energy: 0.12 eV/atom
V: 29.83 Å³/atom
Crystal system: cubic
Uncorrected energy: -13.81 eV per formula unit
Spin magnetization: 0.00 μB per formula unit

```
BaLi4La
1.0
0.000 4.473 4.473
4.473 0.000 4.473
4.473 4.473 0.000
Ba Li La
1 4 1
Direct
0.000 0.000 0.000
0.376 0.376 0.376
0.376 0.376 0.872
0.376 0.872 0.376
0.872 0.376 0.376
0.750 0.750 0.750
```